Entry 1:
! SrCa2Ac3 (PBE, relaxed); values from VASP
&SYSTEM
  ibrav = 0, nat = 12, ntyp = 3
/
ATOMIC_SPECIES
Sr 87.62 Sr.upf
Ac 227.00 Ac.upf
Ca 40.08 Ca.upf
CELL_PARAMETERS angstrom
3.915 0.000 0.000
-1.957 9.502 -3.090
0.000 1.373 14.383
ATOMIC_POSITIONS crystal
Sr 0.914 0.827 0.048
Sr 0.086 0.173 0.952
Ac 0.921 0.843 0.558
Ac 0.079 0.157 0.442
Ac 0.258 0.516 0.615
Ac 0.742 0.484 0.385
Ac 0.598 0.196 0.690
Ac 0.402 0.804 0.310
Ca 0.573 0.147 0.200
Ca 0.255 0.511 0.879
Ca 0.745 0.489 0.121
Ca 0.427 0.853 0.800
! - Space group: No. 12
! - DFT total energy: -35.27 eV per cell
! - Crystal system: monoclinic



Entry 2:
! Tl4CrPb (PBE, relaxed); values from VASP
&SYSTEM
  ibrav = 0, nat = 6, ntyp = 3
/
ATOMIC_SPECIES
Cr 52.00 Cr.upf
Tl 204.38 Tl.upf
Pb 207.20 Pb.upf
CELL_PARAMETERS angstrom
0.000 4.492 4.492
4.492 0.000 4.492
4.492 4.492 0.000
ATOMIC_POSITIONS crystal
Cr 0.750 0.750 0.750
Tl 0.375 0.875 0.375
Tl 0.375 0.375 0.875
Tl 0.375 0.375 0.375
Tl 0.875 0.375 0.375
Pb 0.000 0.000 0.000
! - Space group: No. 216
! - DFT total energy: -19.92 eV per cell
! - Crystal system: cubic



Entry 3:
! KTaBr (PBE, relaxed); values from VASP
&SYSTEM
  ibrav = 0, nat = 3, ntyp = 3
/
ATOMIC_SPECIES
Ta 180.95 Ta.upf
K 39.10 K.upf
Br 79.90 Br.upf
CELL_PARAMETERS angstrom
5.692 0.000 0.000
2.846 4.929 0.000
2.846 1.643 4.647
ATOMIC_POSITIONS crystal
Ta 0.000 0.000 0.000
K 0.750 0.750 0.750
Br 0.500 0.500 0.500
! - Space group: No. 216
! - Energy relative to the elements, uncorrected: 152 kJ per mole of atoms
! - Energy above the most stable polymorph in this dataset: 3.50 eV per formula unit
! - Crystal system: cubic



Entry 4:
! K8TeP8H10O32 (PBE, relaxed); values from VASP
&SYSTEM
  ibrav = 0, nat = 59, ntyp = 5
/
ATOMIC_SPECIES
K 39.10 K.upf
O 16.00 O.upf
H 1.01 H.upf
P 30.97 P.upf
Te 127.60 Te.upf
CELL_PARAMETERS angstrom
-6.783 -3.248 1.269
0.432 -10.424 -2.786
2.583 -7.066 8.969
ATOMIC_POSITIONS crystal
K 0.087 0.612 0.031
K 0.639 0.911 0.846
K 0.741 0.893 0.439
K 0.361 0.089 0.154
K 0.259 0.107 0.561
K 0.163 0.589 0.360
K 0.913 0.388 0.969
K 0.837 0.411 0.640
O 0.956 0.835 0.137
O 0.709 0.267 0.382
O 0.359 0.843 0.755
O 0.614 0.824 0.228
O 0.027 0.897 0.888
O 0.795 0.620 0.410
O 0.205 0.380 0.590
O 0.735 0.071 0.974
O 0.973 0.103 0.112
O 0.631 0.352 0.869
O 0.559 0.315 0.580
O 0.066 0.351 0.223
O 0.896 0.186 0.564
O 0.291 0.733 0.618
O 0.371 0.322 0.333
O 0.441 0.685 0.420
O 0.104 0.814 0.436
O 0.641 0.157 0.245
O 0.644 0.064 0.575
O 0.356 0.936 0.425
O 0.289 0.367 0.961
O 0.386 0.176 0.772
O 0.379 0.587 0.833
O 0.369 0.648 0.131
O 0.621 0.413 0.167
O 0.711 0.633 0.039
O 0.629 0.678 0.667
O 0.044 0.165 0.863
O 0.629 0.567 0.276
O 0.371 0.433 0.724
O 0.934 0.649 0.777
O 0.265 0.929 0.026
H 0.176 0.334 0.267
H 0.301 0.824 0.069
H 0.968 0.329 0.288
H 0.032 0.671 0.712
H 0.181 0.155 0.839
H 0.699 0.176 0.931
H 0.151 0.887 0.840
H 0.819 0.845 0.161
H 0.824 0.666 0.733
H 0.849 0.113 0.160
P 0.425 0.420 0.858
P 0.571 0.282 0.284
P 0.429 0.718 0.716
P 0.712 0.192 0.534
P 0.288 0.808 0.466
P 0.632 0.683 0.330
P 0.575 0.580 0.142
P 0.368 0.317 0.670
Te 0.000 0.000 0.000
! - Space group: No. 2
! - DFT total energy: -357.21 eV per cell
! - Crystal system: triclinic



Entry 5:
! CsIn2PdCl8 (PBE, relaxed); values from VASP
&SYSTEM
  ibrav = 0, nat = 12, ntyp = 4
/
ATOMIC_SPECIES
In 114.82 In.upf
Cl 35.45 Cl.upf
Pd 106.42 Pd.upf
Cs 132.91 Cs.upf
CELL_PARAMETERS angstrom
-5.931 0.120 2.979
-0.397 -0.316 6.619
-1.640 10.214 3.718
ATOMIC_POSITIONS crystal
In 0.755 0.755 0.736
In 0.245 0.245 0.264
Cl 0.323 0.323 0.030
Cl 0.563 0.240 0.328
Cl 0.132 0.760 0.672
Cl 0.677 0.677 0.970
Cl 0.868 0.563 0.328
Cl 0.437 0.132 0.672
Cl 0.760 0.437 0.672
Cl 0.240 0.868 0.328
Pd 0.500 0.500 0.500
Cs 0.000 0.000 0.000
! - Space group: No. 155
! - Energy relative to the elements, uncorrected: -97 kJ per mole of atoms
! - Crystal system: trigonal



Entry 6:
! NbCrW3 (PBE, relaxed); values from VASP
&SYSTEM
  ibrav = 0, nat = 5, ntyp = 3
/
ATOMIC_SPECIES
W 183.84 W.upf
Nb 92.91 Nb.upf
Cr 52.00 Cr.upf
CELL_PARAMETERS angstrom
4.491 0.000 0.000
0.000 4.491 0.000
0.000 0.000 4.491
ATOMIC_POSITIONS crystal
W 0.000 0.500 0.000
W 0.000 0.000 0.500
W 0.500 0.000 0.000
Nb 0.500 0.500 0.500
Cr 0.000 0.000 0.000
! - Space group: No. 221
! - DFT total energy: -51.98 eV per cell
! - Crystal system: cubic



Entry 7:
! La2AgBi4 (PBE, relaxed); values from VASP
&SYSTEM
  ibrav = 0, nat = 7, ntyp = 3
/
ATOMIC_SPECIES
La 138.91 La.upf
Bi 208.98 Bi.upf
Ag 107.87 Ag.upf
CELL_PARAMETERS angstrom
4.701 0.000 0.000
0.000 4.701 0.000
0.000 0.000 10.005
ATOMIC_POSITIONS crystal
La 0.500 0.000 0.764
La 0.000 0.500 0.236
Bi 0.500 0.500 0.500
Bi 0.000 0.500 0.833
Bi 0.000 0.000 0.500
Bi 0.500 0.000 0.167
Ag 0.500 0.500 0.000
! - Space group: No. 115
! - Energy above the most stable polymorph in this dataset: 0.00 eV per formula unit
! - Crystal system: tetragonal



Entry 8:
! KLaO2 (PBE, relaxed); values from VASP
&SYSTEM
  ibrav = 0, nat = 8, ntyp = 3
/
ATOMIC_SPECIES
La 138.91 La.upf
O 16.00 O.upf
K 39.10 K.upf
CELL_PARAMETERS angstrom
3.721 0.000 0.000
-1.860 3.222 0.000
0.000 0.000 12.697
ATOMIC_POSITIONS crystal
La 0.000 0.000 0.000
La 0.000 0.000 0.500
O 0.333 0.667 0.405
O 0.333 0.667 0.095
O 0.667 0.333 0.905
O 0.667 0.333 0.595
K 0.333 0.667 0.750
K 0.667 0.333 0.250
! - Space group: No. 194
! - Energy relative to the elements, uncorrected: -256 kJ per mole of atoms
! - Crystal system: hexagonal



Record order is preserved below.
Fermi-level density of states: 17.476; 2.222; 1.064; 0.000; 6.744; 5.954; 3.871; 0.000 states/eV per cell